(1)
A relaxed RbWN2 crystal, computed with GGA-PBE.

Final energy, eV per atom: -8.072
Calculated density, Mg/m³: 6.046
Energy relative to the lowest polymorph listed for this composition, meV/atom: 0
Energy relative to the elements, uncorrected, meV per atom: -429
Fermi-level density of states, states/eV/cell: 8.06

Lattice parameters (Å, degrees): 6.0735 6.0735 8.8545 90.00 90.00 90.00
Space group I-42d (No. 122)
Unique sites:
Rb: 0.0000 0.0000 0.0000 [4 per cell]
W: 0.0000 0.0000 0.5000 [4 per cell]
N: 0.0500 0.2500 0.6250 [8 per cell]

(2)
A relaxed K3PuBr6 crystal, computed with GGA-PBE.

Final energy, eV per atom: -4.442
Calculated density, Mg/m³: 3.631
Energy relative to the lowest polymorph listed for this composition, meV/atom: 4
Energy relative to the elements, uncorrected, meV per atom: -1676
Fermi-level density of states, states/eV/cell: 19.73

Lattice parameters (Å, degrees): 7.8844 8.5089 13.8561 90.00 124.18 90.00
Space group P2_1/c (No. 14)
Unique sites:
K: 0.0000 0.0000 0.0000 [2 per cell]
K: 0.2154 0.0806 0.7475 [4 per cell]
Pu: 0.5000 0.0000 0.5000 [2 per cell]
Br: 0.1429 0.1814 0.4348 [4 per cell]
Br: 0.2587 0.7146 0.4260 [4 per cell]
Br: 0.4042 0.0595 0.2690 [4 per cell]

(3)
A relaxed Rb3LaNb2O9 crystal, computed with GGA-PBE.

Final energy, eV per atom: -7.079
Calculated density, Mg/m³: 4.891
Energy relative to the elements, uncorrected, meV per atom: -2240
Fermi-level density of states, states/eV/cell: 4.58

Lattice parameters (Å, degrees): 6.1200 6.1200 7.5898 90.00 90.00 120.00
Space group P-3m1 (No. 164)
Unique sites:
Rb: 0.0000 0.0000 0.0000 [1 per cell]
Rb: 0.3333 0.6667 0.6769 [2 per cell]
La: 0.0000 0.0000 0.5000 [1 per cell]
Nb: 0.3333 0.6667 0.1725 [2 per cell]
O: 0.0000 0.5000 0.0000 [3 per cell]
O: 0.1794 0.3588 0.3060 [6 per cell]